Entry 1:
La2RuW after structural relaxation. Source: the Alexandria database, functional PBE.

Geometry as extended XYZ:
```
4
Lattice="3.426 0.000 0.000 0.000 5.327 0.000 0.000 0.000 4.711" Properties=species:S:1:pos:R:3 pbc="T T T"
La 0.000 0.000 0.000
La 1.713 2.664 0.000
Ru 1.713 0.000 2.356
W 0.000 2.664 2.356
```

uncorrected energy = -7.440 eV/atom
energy of formation = 0.581 eV per atom
DOS(E_F) = 1.078 states/eV per atom

Entry 2:
LaRuW after structural relaxation. Source: the Alexandria database, functional PBE.

Geometry as extended XYZ:
```
3
Lattice="4.682 0.000 0.000 -2.341 4.055 0.000 0.000 0.000 3.052" Properties=species:S:1:pos:R:3 pbc="T T T"
La 0.000 0.000 0.021
Ru 2.341 1.352 1.059
W 0.000 2.703 1.973
```

ΔE to the lowest computed polymorph = 0.485 eV/atom
uncorrected energy = -8.382 eV/atom
energy of formation = 0.671 eV per atom
DOS(E_F) = 0.999 states/eV per atom

Entry 3:
LaRuW after structural relaxation. Source: the Alexandria database, functional PBE.

Geometry as extended XYZ:
```
3
Lattice="-3.692 2.408 1.323 -2.888 -1.748 3.128 -0.177 1.803 4.231" Properties=species:S:1:pos:R:3 pbc="T T T"
La -3.379 1.232 4.341
Ru -5.068 1.848 6.511
W 0.000 0.000 0.000
```

ΔE to the lowest computed polymorph = 0.581 eV/atom
uncorrected energy = -8.286 eV/atom
energy of formation = 0.767 eV per atom
DOS(E_F) = 1.553 states/eV per atom

Entry 4:
LaRuW2 after structural relaxation. Source: the Alexandria database, functional PBE.

Geometry as extended XYZ:
```
4
Lattice="-2.951 -1.562 3.237 -3.925 -2.146 -1.273 -0.481 -4.573 0.695" Properties=species:S:1:pos:R:3 pbc="T T T"
Ru 0.000 0.000 0.000
W -1.839 -2.070 0.665
W -5.518 -6.211 1.995
La -3.679 -4.140 1.330
```

ΔE to the lowest computed polymorph = 0.358 eV/atom
uncorrected energy = -9.337 eV/atom
energy of formation = 0.690 eV per atom
DOS(E_F) = 0.551 states/eV per atom

Entry 5:
LaRuW2 after structural relaxation. Source: the Alexandria database, functional PBE.

Geometry as extended XYZ:
```
4
Lattice="-1.080 -0.728 -2.572 2.697 -0.955 0.356 -3.345 -8.074 3.688" Properties=species:S:1:pos:R:3 pbc="T T T"
La -1.707 -4.121 1.883
Ru -1.791 -7.116 1.758
W -3.325 -8.027 3.667
W 0.079 -2.603 -0.303
```

ΔE to the lowest computed polymorph = 0.098 eV/atom
uncorrected energy = -9.597 eV/atom
energy of formation = 0.430 eV per atom
DOS(E_F) = 1.095 states/eV per atom

Entry 6:
La3RuW after structural relaxation. Source: the Alexandria database, functional PBE.

Geometry as extended XYZ:
```
5
Lattice="5.329 0.000 0.000 0.000 5.329 0.000 0.000 0.000 5.329" Properties=species:S:1:pos:R:3 pbc="T T T"
Ru 0.000 0.000 0.000
W 2.665 2.665 2.665
La 0.000 2.665 0.000
La 0.000 0.000 2.665
La 2.665 0.000 0.000
```

ΔE to the lowest computed polymorph = 0.000 eV/atom
uncorrected energy = -6.619 eV/atom
energy of formation = 0.784 eV per atom
DOS(E_F) = 1.965 states/eV per atom

Entry 7:
LaRuW2 after structural relaxation. Source: the Alexandria database, functional PBE.

Geometry as extended XYZ:
```
4
Lattice="5.527 0.012 -0.006 4.658 2.975 -0.006 1.073 0.315 4.845" Properties=species:S:1:pos:R:3 pbc="T T T"
La 8.444 2.476 3.624
Ru 2.815 0.825 1.208
W 9.923 2.909 0.357
W 5.891 1.727 2.046
```

ΔE to the lowest computed polymorph = 0.164 eV/atom
uncorrected energy = -9.532 eV/atom
energy of formation = 0.496 eV per atom
DOS(E_F) = 0.728 states/eV per atom

Entry 8:
LaRuW2 after structural relaxation. Source: the Alexandria database, functional PBE.

Geometry as extended XYZ:
```
4
Lattice="-1.586 1.227 3.699 -0.551 -2.778 0.685 5.636 -1.433 2.891" Properties=species:S:1:pos:R:3 pbc="T T T"
La 2.602 -2.130 1.822
Ru 3.369 -2.555 4.685
W 5.602 -1.464 2.887
W 0.104 -0.373 2.562
```

ΔE to the lowest computed polymorph = 0.130 eV/atom
uncorrected energy = -9.566 eV/atom
energy of formation = 0.461 eV per atom
DOS(E_F) = 1.053 states/eV per atom

Entry 9:
La2RuW after structural relaxation. Source: the Alexandria database, functional PBE.

Geometry as extended XYZ:
```
4
Lattice="-5.636 0.008 3.150 -1.869 -4.825 3.862 4.406 4.520 -1.355" Properties=species:S:1:pos:R:3 pbc="T T T"
La -7.383 -4.739 6.898
La -0.772 -1.462 3.160
Ru -4.137 -2.655 3.865
W -2.063 1.334 2.251
```

uncorrected energy = -7.765 eV/atom
energy of formation = 0.256 eV per atom
DOS(E_F) = 1.181 states/eV per atom

Entry 10:
La2RuW after structural relaxation. Source: the Alexandria database, functional PBE.

Geometry as extended XYZ:
```
4
Lattice="-2.224 1.864 8.739 0.524 -0.224 9.190 0.998 3.171 8.587" Properties=species:S:1:pos:R:3 pbc="T T T"
La -0.698 4.789 26.391
La -0.354 2.429 13.383
Ru -0.175 1.203 6.629
W -0.526 3.609 19.887
```

uncorrected energy = -7.295 eV/atom
energy of formation = 0.726 eV per atom
DOS(E_F) = 1.202 states/eV per atom

Entry 11:
LaRu3W after structural relaxation. Source: the Alexandria database, functional PBE.

Geometry as extended XYZ:
```
5
Lattice="4.677 0.000 0.000 0.000 4.677 0.000 0.000 0.000 4.677" Properties=species:S:1:pos:R:3 pbc="T T T"
Ru 0.000 2.339 0.000
Ru 0.000 0.000 2.339
Ru 2.339 0.000 0.000
W 2.339 2.339 2.339
La 0.000 0.000 0.000
```

ΔE to the lowest computed polymorph = 1.731 eV/atom
uncorrected energy = -6.797 eV/atom
energy of formation = 2.345 eV per atom
DOS(E_F) = 2.022 states/eV per atom

Entry 12:
LaRuW2 after structural relaxation. Source: the Alexandria database, functional PBE.

Geometry as extended XYZ:
```
4
Lattice="10.142 -0.040 -0.023 9.734 2.847 -0.023 9.734 1.375 2.493" Properties=species:S:1:pos:R:3 pbc="T T T"
La 7.402 1.045 0.612
Ru 22.207 3.136 1.835
W 0.365 0.052 0.030
W 14.440 2.039 1.193
```

ΔE to the lowest computed polymorph = 0.345 eV/atom
uncorrected energy = -9.351 eV/atom
energy of formation = 0.677 eV per atom
DOS(E_F) = 1.875 states/eV per atom